Below is a relaxed Tb7DyHo5 crystal, with properties calculated at the GGA-PBE level.

Structure (POSCAR):
```
Tb7DyHo5
1.0
-3.3236 5.5481 5.7473
3.3236 -5.5481 5.7473
3.3236 5.5481 -5.7473
Tb Dy Ho
7 1 5
direct
0.0000 0.0000 0.0000 Tb
0.9997 0.4997 0.5000 Tb
0.0798 0.7508 0.3289 Tb
0.3069 0.3069 0.0000 Tb
0.4219 0.7508 0.6711 Tb
0.5781 0.2496 0.3285 Tb
0.9211 0.2496 0.6715 Tb
0.6928 0.6928 0.0000 Dy
0.2721 0.2678 0.5391 Ho
0.2721 0.7330 0.0043 Ho
0.5006 0.0006 0.5000 Ho
0.7287 0.2678 0.9957 Ho
0.7287 0.7330 0.4609 Ho
```

Results
Spin magnetization ... 0.000 μB per atom
Space-group type ... Imm2, No. 44
ΔH_f (0 K) ... 253 meV/atom